Ru2PbW GGA-PBE optimized geometry; total magnetization = 0.0 μB/f.u.; ρ = 14.5 g/cm3; total DFT energy (no corrections) = -8.32 eV per atom; symmetry = No. 8; formation energy = 0.49 eV/atom
1.0
-0.888 4.569 1.769
-2.772 2.585 3.229
2.774 0.226 3.890
Pb W Ru
1 1 2
Cartesian
-0.310 1.817 2.068 Pb
-0.200 3.620 4.663 W
-0.881 5.641 6.530 Ru
-3.598 7.147 5.068 Ru

---

PuSiSe3 GGA-PBE optimized geometry; total magnetization = 5.0 μB/f.u.; ρ = 6.7 g/cm3; formation energy (no corrections) = -892 meV per atom; total DFT energy (no corrections) = -6.93 eV per atom; energy above the most stable polymorph in this dataset = 0.0 meV per atom; symmetry = No. 14
1.0
-5.509 3.970 -0.635
-4.574 -6.303 0.279
-0.263 0.609 9.430
Se Si Pu
12 4 4
Cartesian
-5.035 3.695 6.789 Se
-4.217 -3.172 8.952 Se
-5.312 -5.420 2.285 Se
-3.018 0.847 8.600 Se
-6.157 -0.318 6.558 Se
-4.189 -1.406 2.516 Se
-7.329 -2.572 0.474 Se
-7.408 -2.273 3.954 Se
-4.056 -3.356 5.467 Se
-6.130 1.447 0.122 Se
-6.291 1.632 3.607 Se
-2.939 0.549 5.120 Se
-9.341 -1.661 5.007 Si
-5.092 -2.072 0.526 Si
-5.255 0.348 8.548 Si
-1.006 -0.064 4.067 Si
-3.607 1.487 2.077 Pu
-2.110 -1.746 7.178 Pu
-8.236 0.021 1.896 Pu
-6.740 -3.212 6.997 Pu

---

Ac4SiCl4 GGA-PBE optimized geometry; total magnetization = 0.0 μB/f.u.; ρ = 5.3 g/cm3; formation energy (no corrections) = -1188 meV per atom; total DFT energy (no corrections) = -4.44 eV per atom; symmetry = No. 121
1.0
-5.032 -2.437 4.851
3.235 -6.657 0.011
4.515 6.313 2.208
Si Ac Cl
1 4 4
Cartesian
0.000 0.000 0.000 Si
2.036 -1.368 4.670 Ac
2.542 -5.240 2.406 Ac
3.068 3.859 1.876 Ac
-2.209 -2.815 5.187 Ac
0.312 -3.957 3.983 Cl
-2.516 -1.219 2.425 Cl
1.618 -3.329 0.006 Cl
2.407 1.175 3.087 Cl

---

LaYMgMn GGA-PBE optimized geometry; total magnetization = 3.1 μB/f.u.; ρ = 4.8 g/cm3; total DFT energy (no corrections) = -5.43 eV per atom; symmetry = No. 216; formation energy = 0.11 eV/atom
1.0
-2.005 -4.574 1.845
2.898 -3.055 3.258
-1.343 -0.440 5.133
Mg Y Mn La
1 1 1 1
Cartesian
0.000 0.000 0.000 Mg
-0.337 -6.052 7.677 Y
-0.225 -4.034 5.118 Mn
-0.112 -2.017 2.559 La

---

MoOsAu3 GGA-PBE optimized geometry; total magnetization = 5.9 μB/f.u.; ρ = 11.6 g/cm3; total DFT energy (no corrections) = -4.63 eV per atom; energy above the most stable polymorph in this dataset = 0.0 meV per atom; symmetry = No. 221; formation energy = 1.75 eV/atom
1.0
5.004 0.000 0.000
0.000 5.004 0.000
0.000 0.000 5.004
Au Os Mo
3 1 1
Cartesian
0.000 2.502 0.000 Au
2.502 0.000 0.000 Au
0.000 0.000 2.502 Au
0.000 0.000 0.000 Os
2.502 2.502 2.502 Mo

---

Ca2AsIr2 GGA-PBE optimized geometry; total magnetization = 0.1 μB/f.u.; ρ = 8.7 g/cm3; total DFT energy (no corrections) = -5.65 eV per atom; symmetry = No. 127; formation energy = -0.37 eV/atom
1.0
-6.569 -0.484 0.978
0.910 -5.721 3.284
0.418 2.341 3.963
Ir Ca As
4 4 2
Cartesian
-4.060 -1.092 1.073 Ir
-0.570 -2.143 1.326 Ir
-1.599 -5.113 3.189 Ir
-5.089 -4.062 2.936 Ir
-1.774 0.017 2.872 Ca
-0.321 -2.770 4.365 Ca
-3.467 -3.881 5.353 Ca
-4.921 -1.094 3.860 Ca
-2.830 -3.102 2.131 As
0.000 0.000 0.000 As

---

HgOs2Pb GGA-PBE optimized geometry; total magnetization = 0.0 μB/f.u.; ρ = 17.9 g/cm3; total DFT energy (no corrections) = -5.45 eV per atom; energy above the most stable polymorph in this dataset = 647.0 meV per atom; symmetry = No. 166; formation energy = 1.16 eV/atom
1.0
9.023 0.000 0.000
8.493 3.047 0.000
8.493 1.477 2.665
Os Hg Pb
2 1 1
Cartesian
13.044 2.268 1.336 Os
25.969 4.516 2.660 Os
19.507 3.392 1.998 Hg
6.502 1.131 0.666 Pb

---

UAs2Pd GGA-PBE optimized geometry; total magnetization = 1.5 μB/f.u.; ρ = 10.8 g/cm3; total DFT energy (no corrections) = -7.10 eV per atom; symmetry = No. 129; formation energy = -0.65 eV/atom
1.0
3.995 0.000 0.000
0.000 3.995 0.000
0.000 0.000 9.547
U As Pd
2 4 2
Cartesian
0.000 1.997 2.254 U
1.997 0.000 7.293 U
0.000 1.997 6.583 As
1.997 0.000 2.964 As
1.997 1.997 0.000 As
0.000 0.000 0.000 As
0.000 0.000 4.774 Pd
1.997 1.997 4.774 Pd